1.
## CdTe2H (PBE-GGA)

Data for an optimized crystal structure of CdTe2H.

As for the calculated total energy: -2.15 eV/atom. As for the energy above the most stable polymorph in this dataset: 387 meV per atom. The total moment is 0.00 μB/f.u.

Unit cell a=3.1752 b=3.1752 c=29.9383 alpha=90.00 beta=90.00 gamma=120.00
Space group R-3m (No. 166, hexagonal axes)
Unique sites:
Cd1 0.0000 0.0000 0.0000 (multiplicity 3)
Te1 0.0000 0.0000 0.1068 (multiplicity 6)
H1 0.0000 0.0000 0.5000 (multiplicity 3)



2.
## Zr2CdTeH (PBE-GGA)

Data for an optimized crystal structure of Zr2CdTeH.

As for the calculated total energy: -4.46 eV/atom. The total moment is 0.00 μB/f.u.

Unit cell a=5.4914 b=5.4914 c=3.5895 alpha=90.00 beta=90.00 gamma=90.00
Space group P4/mmm (No. 123)
Unique sites:
Zr1 0.0000 0.5000 0.0000 (multiplicity 2)
Cd1 0.0000 0.0000 0.0000 (multiplicity 1)
Te1 0.5000 0.5000 0.5000 (multiplicity 1)
H1 0.0000 0.0000 0.5000 (multiplicity 1)



3.
## Th3CdH (PBE-GGA)

Data for an optimized crystal structure of Th3CdH.

As for the calculated total energy: -5.42 eV/atom. The total moment is 0.00 μB/f.u.

Unit cell a=4.9891 b=4.9891 c=4.9891 alpha=90.00 beta=90.00 gamma=90.00
Space group Pm-3m (No. 221)
Unique sites:
Th1 0.0000 0.0000 0.5000 (multiplicity 3)
Cd1 0.5000 0.5000 0.5000 (multiplicity 1)
H1 0.0000 0.0000 0.0000 (multiplicity 1)



4.
## Th4Cd2H (PBE-GGA)

Data for an optimized crystal structure of Th4Cd2H.

As for the calculated total energy: -4.95 eV/atom. The total moment is 0.00 μB/f.u.

Unit cell a=4.7626 b=4.7626 c=16.6840 alpha=90.00 beta=90.00 gamma=90.00
Space group I4/mmm (No. 139)
Unique sites:
Th1 0.0000 0.0000 0.1707 (multiplicity 4)
Th2 0.0000 0.5000 0.0000 (multiplicity 4)
Cd1 0.0000 0.0000 0.3589 (multiplicity 4)
H1 0.0000 0.0000 0.0000 (multiplicity 2)



5.
## ThCd2H (PBE-GGA)

Data for an optimized crystal structure of ThCd2H.

As for the calculated total energy: -3.19 eV/atom. The total moment is 0.00 μB/f.u.

Unit cell a=4.3248 b=3.9267 c=10.6102 alpha=90.00 beta=100.74 gamma=90.00
Space group P2_1/m (No. 11)
Unique sites:
Th1 0.1636 0.2500 0.3828 (multiplicity 2)
Cd1 0.0553 0.7500 0.1154 (multiplicity 2)
Cd2 0.4397 0.7500 0.8678 (multiplicity 2)
H1 0.0990 0.2500 0.5911 (multiplicity 2)



6.
## Th3CdH3 (PBE-GGA)

Data for an optimized crystal structure of Th3CdH3.

As for the calculated total energy: -4.96 eV/atom. The total moment is 0.00 μB/f.u.

Unit cell a=6.5374 b=6.5374 c=6.5374 alpha=90.00 beta=90.00 gamma=90.00
Space group Pm-3n (No. 223)
Unique sites:
Th1 0.0000 0.2500 0.5000 (multiplicity 6)
Cd1 0.0000 0.0000 0.0000 (multiplicity 2)
H1 0.0000 0.5000 0.2500 (multiplicity 6)



7.
## Ti3CdH (PBE-GGA)

Data for an optimized crystal structure of Ti3CdH.

As for the calculated total energy: -3.81 eV/atom. As for the energy above the most stable polymorph in this dataset: 1939 meV per atom. The total moment is 5.19 μB/f.u.

Unit cell a=5.1022 b=5.1022 c=5.1022 alpha=90.00 beta=90.00 gamma=90.00
Space group Pm-3m (No. 221)
Unique sites:
Ti1 0.0000 0.0000 0.5000 (multiplicity 3)
Cd1 0.0000 0.0000 0.0000 (multiplicity 1)
H1 0.5000 0.5000 0.5000 (multiplicity 1)



8.
## TiCdH (PBE-GGA)

Data for an optimized crystal structure of TiCdH.

As for the calculated total energy: -4.22 eV/atom. As for the energy above the most stable polymorph in this dataset: 47 meV per atom. The total moment is 0.00 μB/f.u.

Unit cell a=3.1337 b=3.1337 c=4.8814 alpha=90.00 beta=90.00 gamma=120.00
Space group P3m1 (No. 156)
Unique sites:
Ti1 0.0000 0.0000 0.0000 (multiplicity 1)
Cd1 0.6667 0.3333 0.4975 (multiplicity 1)
H1 0.3333 0.6667 0.9822 (multiplicity 1)



9.
## TiCdH (PBE-GGA)

Data for an optimized crystal structure of TiCdH.

As for the calculated total energy: -4.27 eV/atom. As for the energy above the most stable polymorph in this dataset: 0 meV per atom. The total moment is 0.00 μB/f.u.

Unit cell a=3.5678 b=3.5678 c=6.4071 alpha=90.00 beta=90.00 gamma=90.00
Space group P4/nmm (No. 129, origin choice 2)
Unique sites:
Ti1 0.2500 0.2500 0.0959 (multiplicity 2)
Cd1 0.2500 0.2500 0.6260 (multiplicity 2)
H1 0.2500 0.7500 0.0000 (multiplicity 2)



10.
## Ti3CdH2 (PBE-GGA)

Data for an optimized crystal structure of Ti3CdH2.

As for the calculated total energy: -5.36 eV/atom. The total moment is 0.02 μB/f.u.

Unit cell a=11.7796 b=3.8231 c=7.3787 alpha=90.00 beta=105.81 gamma=90.00
Space group C2/m (No. 12)
Unique sites:
Ti1 0.0578 0.0000 0.3467 (multiplicity 4)
Ti2 0.1124 0.5000 0.6741 (multiplicity 4)
Ti3 0.2234 0.5000 0.3510 (multiplicity 4)
Cd1 0.1514 0.0000 0.0095 (multiplicity 4)
H1 0.0453 0.5000 0.2665 (multiplicity 4)
H2 0.1024 0.0000 0.6115 (multiplicity 4)



11.
## TiCdH (PBE-GGA)

Data for an optimized crystal structure of TiCdH.

As for the calculated total energy: -4.20 eV/atom. As for the energy above the most stable polymorph in this dataset: 71 meV per atom. The total moment is 0.00 μB/f.u.

Unit cell a=2.9848 b=5.4038 c=5.7847 alpha=115.25 beta=104.92 gamma=90.05
Space group P-1 (No. 2)
Unique sites:
Ti1 0.1226 0.4554 0.2442 (multiplicity 2)
Cd1 0.3823 0.0546 0.7642 (multiplicity 2)
H1 0.2748 0.4036 0.5508 (multiplicity 2)



12.
## Ti3CdH (PBE-GGA)

Data for an optimized crystal structure of Ti3CdH.

As for the calculated total energy: -5.75 eV/atom. As for the energy above the most stable polymorph in this dataset: 0 meV per atom. The total moment is 0.00 μB/f.u.

Unit cell a=4.1565 b=4.1565 c=4.1565 alpha=90.00 beta=90.00 gamma=90.00
Space group Pm-3m (No. 221)
Unique sites:
Ti1 0.0000 0.0000 0.5000 (multiplicity 3)
Cd1 0.5000 0.5000 0.5000 (multiplicity 1)
H1 0.0000 0.0000 0.0000 (multiplicity 1)



13.
## Ti2CdH2 (PBE-GGA)

Data for an optimized crystal structure of Ti2CdH2.

As for the calculated total energy: -4.97 eV/atom. The total moment is 1.06 μB/f.u.

Unit cell a=3.4936 b=3.4936 c=9.6176 alpha=90.00 beta=90.00 gamma=90.00
Space group I4/mmm (No. 139)
Unique sites:
Ti1 0.0000 0.0000 0.1685 (multiplicity 4)
Cd1 0.0000 0.0000 0.5000 (multiplicity 2)
H1 0.0000 0.5000 0.2500 (multiplicity 4)



14.
## TiCd3H (PBE-GGA)

Data for an optimized crystal structure of TiCd3H.

As for the calculated total energy: -2.44 eV/atom. The total moment is 1.89 μB/f.u.

Unit cell a=4.4338 b=4.4338 c=4.4338 alpha=90.00 beta=90.00 gamma=90.00
Space group Pm-3m (No. 221)
Unique sites:
Ti1 0.0000 0.0000 0.0000 (multiplicity 1)
Cd1 0.0000 0.5000 0.5000 (multiplicity 3)
H1 0.5000 0.5000 0.5000 (multiplicity 1)



15.
## Ti2VCdH (PBE-GGA)

Data for an optimized crystal structure of Ti2VCdH.

As for the calculated total energy: -5.89 eV/atom. The total moment is 0.82 μB/f.u.

Unit cell a=4.1966 b=4.1966 c=3.8963 alpha=90.00 beta=90.00 gamma=90.00
Space group P4/mmm (No. 123)
Unique sites:
Ti1 0.0000 0.5000 0.0000 (multiplicity 2)
V1 0.0000 0.0000 0.5000 (multiplicity 1)
Cd1 0.5000 0.5000 0.5000 (multiplicity 1)
H1 0.0000 0.0000 0.0000 (multiplicity 1)



16.
## YTi2CdH (PBE-GGA)

Data for an optimized crystal structure of YTi2CdH.

As for the calculated total energy: -5.36 eV/atom. The total moment is 0.00 μB/f.u.

Unit cell a=4.3381 b=4.3381 c=4.5547 alpha=90.00 beta=90.00 gamma=90.00
Space group P4/mmm (No. 123)
Unique sites:
Y1 0.0000 0.0000 0.0000 (multiplicity 1)
Ti1 0.0000 0.5000 0.5000 (multiplicity 2)
Cd1 0.5000 0.5000 0.0000 (multiplicity 1)
H1 0.0000 0.0000 0.5000 (multiplicity 1)



17.
## Zr2TiCdH (PBE-GGA)

Data for an optimized crystal structure of Zr2TiCdH.

As for the calculated total energy: -5.91 eV/atom. As for the energy above the most stable polymorph in this dataset: 138 meV per atom. The total moment is 0.00 μB/f.u.

Unit cell a=4.3560 b=4.3560 c=4.4890 alpha=90.00 beta=90.00 gamma=90.00
Space group P4/mmm (No. 123)
Unique sites:
Zr1 0.0000 0.5000 0.0000 (multiplicity 2)
Ti1 0.0000 0.0000 0.5000 (multiplicity 1)
Cd1 0.5000 0.5000 0.5000 (multiplicity 1)
H1 0.5000 0.5000 0.0000 (multiplicity 1)



18.
## ZrTi2CdH (PBE-GGA)

Data for an optimized crystal structure of ZrTi2CdH.

As for the calculated total energy: -4.98 eV/atom. As for the energy above the most stable polymorph in this dataset: 913 meV per atom. The total moment is 1.13 μB/f.u.

Unit cell a=5.2159 b=5.2159 c=3.5107 alpha=90.00 beta=90.00 gamma=90.00
Space group P4/mmm (No. 123)
Unique sites:
Zr1 0.0000 0.0000 0.0000 (multiplicity 1)
Ti1 0.0000 0.5000 0.0000 (multiplicity 2)
Cd1 0.5000 0.5000 0.5000 (multiplicity 1)
H1 0.0000 0.0000 0.5000 (multiplicity 1)



19.
## ZrTi2CdH (PBE-GGA)

Data for an optimized crystal structure of ZrTi2CdH.

As for the calculated total energy: -5.89 eV/atom. As for the energy above the most stable polymorph in this dataset: 0 meV per atom. The total moment is 0.00 μB/f.u.

Unit cell a=4.2554 b=4.2554 c=4.3206 alpha=90.00 beta=90.00 gamma=90.00
Space group P4/mmm (No. 123)
Unique sites:
Zr1 0.0000 0.0000 0.0000 (multiplicity 1)
Ti1 0.0000 0.5000 0.5000 (multiplicity 2)
Cd1 0.5000 0.5000 0.0000 (multiplicity 1)
H1 0.0000 0.0000 0.5000 (multiplicity 1)



20.
## Zr2TiCdH (PBE-GGA)

Data for an optimized crystal structure of Zr2TiCdH.

As for the calculated total energy: -6.05 eV/atom. As for the energy above the most stable polymorph in this dataset: 0 meV per atom. The total moment is 0.00 μB/f.u.

Unit cell a=4.4316 b=4.4316 c=4.2917 alpha=90.00 beta=90.00 gamma=90.00
Space group P4/mmm (No. 123)
Unique sites:
Zr1 0.0000 0.5000 0.0000 (multiplicity 2)
Ti1 0.0000 0.0000 0.5000 (multiplicity 1)
Cd1 0.5000 0.5000 0.5000 (multiplicity 1)
H1 0.0000 0.0000 0.0000 (multiplicity 1)



21.
## ZrTi2CdH (PBE-GGA)

Data for an optimized crystal structure of ZrTi2CdH.

As for the calculated total energy: -5.72 eV/atom. As for the energy above the most stable polymorph in this dataset: 168 meV per atom. The total moment is 0.00 μB/f.u.

Unit cell a=4.2131 b=4.2131 c=4.4565 alpha=90.00 beta=90.00 gamma=90.00
Space group P4/mmm (No. 123)
Unique sites:
Zr1 0.0000 0.0000 0.0000 (multiplicity 1)
Ti1 0.0000 0.5000 0.5000 (multiplicity 2)
Cd1 0.5000 0.5000 0.0000 (multiplicity 1)
H1 0.5000 0.5000 0.5000 (multiplicity 1)



22.
## TlCdH2 (PBE-GGA)

Data for an optimized crystal structure of TlCdH2.

As for the calculated total energy: -1.89 eV/atom. As for the energy above the most stable polymorph in this dataset: 516 meV per atom. The total moment is 0.00 μB/f.u.

Unit cell a=6.3522 b=6.3522 c=6.3522 alpha=90.00 beta=90.00 gamma=90.00
Space group Fm-3m (No. 225)
Unique sites:
Tl1 0.0000 0.0000 0.0000 (multiplicity 4)
Cd1 0.0000 0.0000 0.5000 (multiplicity 4)
H1 0.2500 0.2500 0.2500 (multiplicity 8)



23.
## Tl12Cd3H5 (PBE-GGA)

Data for an optimized crystal structure of Tl12Cd3H5.

As for the calculated total energy: -2.14 eV/atom. The total moment is 0.00 μB/f.u.

Unit cell a=15.9124 b=15.9124 c=15.9124 alpha=90.00 beta=90.00 gamma=90.00
Space group Ia-3d (No. 230)
Unique sites:
Tl1 0.0405 0.0521 0.6458 (multiplicity 96)
Cd1 0.0000 0.2500 0.1250 (multiplicity 24)
H1 0.0000 0.0000 0.0000 (multiplicity 16)
H2 0.0000 0.2500 0.3750 (multiplicity 24)